# 1
{
  "formula": "Tm4PuZn5",
  "functional": "PBE",
  "state": "relaxed",
  "dos_at_fermi_per_ev_fu": 11.868,
  "space_group": "No. 123",
  "magnetic_moment_mub_per_cell": 5.997,
  "formation_energy_ev_per_atom": -0.285,
  "cell": [[3.5175, 0.0000, 0.0000], [0.0000, 3.5175, 0.0000], [0.0000, 0.0000, 17.7367]],
  "species": ["Tm", "Tm", "Tm", "Tm", "Pu", "Zn", "Zn", "Zn", "Zn", "Zn"],
  "fractional_positions": [[0.0000, 0.0000, 0.5989], [0.0000, 0.0000, 0.2030], [0.0000, 0.0000, 0.7970], [0.0000, 0.0000, 0.4011], [0.0000, 0.0000, 0.0000], [0.5000, 0.5000, 0.6981], [0.5000, 0.5000, 0.1079], [0.5000, 0.5000, 0.5000], [0.5000, 0.5000, 0.8921], [0.5000, 0.5000, 0.3019]]
}

***

# 2
{
  "formula": "RbLiInI5",
  "functional": "PBE",
  "state": "relaxed",
  "dos_at_fermi_per_ev_fu": 0.000,
  "space_group": "No. 15",
  "magnetic_moment_mub_per_cell": 0.000,
  "cell": [[8.8098, 0.2416, 0.1616], [-2.3406, 8.4966, 0.1616], [-2.5011, -3.3784, 9.5021]],
  "species": ["Rb", "Rb", "Li", "Li", "In", "In", "I", "I", "I", "I", "I", "I", "I", "I", "I", "I"],
  "fractional_positions": [[0.3284, 0.6716, 0.2500], [0.6716, 0.3284, 0.7500], [0.0000, 0.0000, 0.5000], [0.0000, 0.0000, 0.0000], [0.6680, 0.3320, 0.2500], [0.3320, 0.6680, 0.7500], [0.0631, 0.9369, 0.2500], [0.9369, 0.0631, 0.7500], [0.9040, 0.3364, 0.1132], [0.0960, 0.6636, 0.8868], [0.6636, 0.0960, 0.3868], [0.3364, 0.9040, 0.6132], [0.7383, 0.6270, 0.4538], [0.2617, 0.3730, 0.5462], [0.3730, 0.2617, 0.0462], [0.6270, 0.7383, 0.9538]]
}

***

# 3
{
  "formula": "Hf2PtPb",
  "functional": "PBE",
  "state": "relaxed",
  "dos_at_fermi_per_ev_fu": 2.423,
  "space_group": "No. 122",
  "magnetic_moment_mub_per_cell": 0.000,
  "formation_energy_ev_per_atom": -0.215,
  "cell": [[-3.3650, 1.7276, -6.6998], [5.5391, -3.7918, -3.7598], [-0.5877, -3.6446, -5.0623]],
  "species": ["Pb", "Pb", "Hf", "Hf", "Hf", "Hf", "Pt", "Pt"],
  "fractional_positions": [[0.0000, 0.0000, 0.0000], [0.7500, 0.2500, 0.5000], [0.5833, 0.1250, 0.2500], [0.1667, 0.6250, 0.2500], [0.3750, 0.4167, 0.7500], [0.8750, 0.8333, 0.7500], [0.5000, 0.5000, 0.0000], [0.2500, 0.7500, 0.5000]]
}

***

# 4
{
  "formula": "Sr2TeCl",
  "functional": "PBE",
  "state": "relaxed",
  "dos_at_fermi_per_ev_fu": 1.249,
  "space_group": "No. 8",
  "magnetic_moment_mub_per_cell": 0.850,
  "e_above_lowest_polymorph_mev_per_atom": 85,
  "cell": [[-4.3624, 0.4799, -0.8713], [0.7634, -1.2343, -4.5019], [0.1176, -8.4450, -5.1193]],
  "species": ["Cl", "Sr", "Sr", "Te"],
  "fractional_positions": [[0.1200, 0.6789, 0.5474], [0.1252, 0.0426, 0.9716], [0.6294, 0.2634, 0.4911], [0.6254, 0.5151, 0.9899]]
}

***

# 5
{
  "formula": "NbBi4",
  "functional": "PBE",
  "state": "relaxed",
  "dos_at_fermi_per_ev_fu": 6.497,
  "space_group": "No. 221",
  "magnetic_moment_mub_per_cell": 0.948,
  "formation_energy_ev_per_atom": 0.509,
  "cell": [[-2.3208, -4.9577, -0.7665], [3.3856, -0.9246, -4.2703], [3.7019, -2.2625, 3.4248]],
  "species": ["Nb", "Bi", "Bi", "Bi", "Bi"],
  "fractional_positions": [[0.5000, 0.5000, 0.5000], [0.0000, 0.0000, 0.0000], [0.5000, 0.0000, 0.5000], [0.0000, 0.5000, 0.5000], [0.5000, 0.5000, 0.0000]]
}

***

# 6
{
  "formula": "NaSeCl2",
  "functional": "PBE",
  "state": "relaxed",
  "dos_at_fermi_per_ev_fu": 0.698,
  "space_group": "No. 225",
  "magnetic_moment_mub_per_cell": 3.000,
  "e_above_lowest_polymorph_mev_per_atom": 405,
  "cell": [[-2.4621, -4.5535, 0.1481], [-4.8482, -0.2647, 1.8008], [-3.9225, -0.9296, -3.2508]],
  "species": ["Na", "Se", "Cl", "Cl"],
  "fractional_positions": [[0.0000, 0.0000, 0.0000], [0.5000, 0.5000, 0.5000], [0.2500, 0.2500, 0.2500], [0.7500, 0.7500, 0.7500]]
}

***

# 7
{
  "formula": "AlMo2Rh",
  "functional": "PBE",
  "state": "relaxed",
  "dos_at_fermi_per_ev_fu": 3.352,
  "space_group": "No. 25",
  "magnetic_moment_mub_per_cell": 0.000,
  "formation_energy_ev_per_atom": -0.162,
  "cell": [[2.7526, 0.0000, 0.0000], [0.0000, 3.9118, 0.0000], [0.0000, 0.0000, 5.6453]],
  "species": ["Mo", "Mo", "Rh", "Al"],
  "fractional_positions": [[0.0000, 0.0000, 0.9976], [0.5000, 0.5000, 0.2447], [0.0000, 0.0000, 0.5223], [0.5000, 0.5000, 0.7354]]
}

***

# 8
{
  "formula": "YPtW",
  "functional": "PBE",
  "state": "relaxed",
  "dos_at_fermi_per_ev_fu": 2.140,
  "space_group": "No. 107",
  "magnetic_moment_mub_per_cell": 0.000,
  "formation_energy_ev_per_atom": -0.127,
  "cell": [[-6.3959, -0.6690, 1.8878], [-6.0429, -2.8965, -0.1108], [0.1636, -1.9948, 2.2527]],
  "species": ["Pt", "W", "Y"],
  "fractional_positions": [[0.9835, 0.9835, 0.0165], [0.3498, 0.3498, 0.6502], [0.6667, 0.6667, 0.3333]]
}

***

# 9
{
  "formula": "YBe3Rh3",
  "functional": "PBE",
  "state": "relaxed",
  "dos_at_fermi_per_ev_fu": 2.898,
  "space_group": "No. 223",
  "magnetic_moment_mub_per_cell": 0.000,
  "formation_energy_ev_per_atom": -0.257,
  "cell": [[5.9972, 0.0000, 0.0000], [0.0000, 5.9972, 0.0000], [0.0000, 0.0000, 5.9972]],
  "species": ["Y", "Y", "Be", "Be", "Be", "Be", "Be", "Be", "Rh", "Rh", "Rh", "Rh", "Rh", "Rh"],
  "fractional_positions": [[0.5000, 0.5000, 0.5000], [0.0000, 0.0000, 0.0000], [0.2500, 0.0000, 0.5000], [0.0000, 0.5000, 0.2500], [0.5000, 0.7500, 0.0000], [0.7500, 0.0000, 0.5000], [0.0000, 0.5000, 0.7500], [0.5000, 0.2500, 0.0000], [0.0000, 0.2500, 0.5000], [0.0000, 0.7500, 0.5000], [0.5000, 0.0000, 0.7500], [0.7500, 0.5000, 0.0000], [0.5000, 0.0000, 0.2500], [0.2500, 0.5000, 0.0000]]
}

***

# 10
{
  "formula": "RbThTe2S6",
  "functional": "PBE",
  "state": "relaxed",
  "dos_at_fermi_per_ev_fu": 0.603,
  "space_group": "No. 146",
  "magnetic_moment_mub_per_cell": 1.050,
  "cell": [[7.1328, -0.0003, -0.0018], [-3.5663, 6.1773, -0.0001], [-3.5643, -2.0576, 7.7432]],
  "species": ["Rb", "Th", "Te", "Te", "S", "S", "S", "S", "S", "S"],
  "fractional_positions": [[0.0171, 0.5080, 0.5111], [0.9878, 0.9934, 0.9672], [0.4895, 0.7442, 0.2197], [0.6021, 0.3006, 0.8886], [0.5764, 0.9956, 0.7377], [0.4545, 0.0747, 0.1676], [0.8028, 0.7271, 0.1676], [0.1069, 0.3787, 0.1676], [0.7564, 0.5799, 0.7378], [0.1720, 0.1754, 0.7377]]
}

***

# 11
{
  "formula": "SrTcN3",
  "functional": "PBE",
  "state": "relaxed",
  "space_group": "No. 8",
  "magnetic_moment_mub_per_cell": 0.000,
  "cell": [[3.6950, -0.0021, -0.0008], [-0.1168, 5.6654, -0.0024], [1.2240, -0.0515, 3.4860]],
  "species": ["Sr", "Tc", "N", "N", "N"],
  "fractional_positions": [[0.0506, 0.1638, 0.5801], [0.6540, 0.6421, 0.1835], [0.1895, 0.4966, 0.0512], [0.6684, 0.9507, 0.1980], [0.5217, 0.4966, 0.7190]]
}

***

# 12
{
  "formula": "Ho7SI12",
  "functional": "PBE",
  "state": "relaxed",
  "dos_at_fermi_per_ev_fu": 3.331,
  "space_group": "No. 148",
  "magnetic_moment_mub_per_cell": 0.000,
  "cell": [[-5.0383, -4.1286, 7.0519], [9.2319, -2.3554, 1.1760], [-0.7821, 9.5185, 0.9731]],
  "species": ["Ho", "Ho", "Ho", "Ho", "Ho", "Ho", "Ho", "S", "I", "I", "I", "I", "I", "I", "I", "I", "I", "I", "I", "I"],
  "fractional_positions": [[0.9656, 0.7013, 0.8978], [0.2987, 0.1022, 0.0344], [0.1022, 0.0344, 0.2987], [0.5000, 0.5000, 0.5000], [0.8978, 0.9656, 0.7013], [0.7013, 0.8978, 0.9656], [0.0344, 0.2987, 0.1022], [0.0000, 0.0000, 0.0000], [0.9220, 0.3117, 0.7748], [0.6883, 0.2252, 0.0780], [0.4677, 0.1517, 0.3874], [0.8483, 0.6126, 0.5323], [0.2252, 0.0780, 0.6883], [0.6126, 0.5323, 0.8483], [0.3874, 0.4677, 0.1517], [0.7748, 0.9220, 0.3117], [0.1517, 0.3874, 0.4677], [0.5323, 0.8483, 0.6126], [0.3117, 0.7748, 0.9220], [0.0780, 0.6883, 0.2252]]
}

***

no.,E (eV for the cell shown)
1,-41.4
2,-41.5
3,-61.0
4,-14.6
5,-23.1
6,-9.9
7,-33.4
8,-25.8
9,-83.0
10,-46.3
11,-38.3
12,-81.0